Record 1
4
Lattice="1.8977 1.0956 8.7800 -1.8977 1.0956 8.7800 0.0000 -2.1912 8.7800" Properties=species:S:1:pos:R:3 comment="PmThGa2, relaxed, DFT PBE" spacegroup=R-3m total_energy_ev_per_atom=-4.8690 formation_enthalpy_0k_kj_per_mol_atoms=-30.20 volume_a3_per_cell=110 pbc="T T T"
Pm 0.0000 0.0000 0.0000
Th 0.0000 0.0000 13.1700
Ga 0.0000 0.0000 6.6205
Ga 0.0000 0.0000 19.7195

=====

Record 2
11
Lattice="8.2489 0.0000 0.0000 -4.1245 7.1438 0.0000 0.0000 0.0000 4.3441" Properties=species:S:1:pos:R:3 comment="Pm2Cd6Ga3, relaxed, DFT PBE" spacegroup=P-62m total_energy_ev_per_atom=-2.4522 formation_enthalpy_0k_kj_per_mol_atoms=-25.45 volume_a3_per_cell=256 pbc="T T T"
Pm 0.0000 4.7625 0.0000
Pm 4.1245 2.3813 0.0000
Cd -1.1977 2.0744 2.1721
Cd -3.2879 5.6948 0.0000
Cd 0.8366 1.4490 0.0000
Cd 2.3953 0.0000 2.1721
Cd 2.9268 5.0694 2.1721
Cd 6.5758 0.0000 0.0000
Ga -2.5096 4.3468 2.1721
Ga 1.6148 2.7969 2.1721
Ga 5.0193 0.0000 2.1721

=====

Record 3
4
Lattice="1.8316 1.0575 9.7675 -1.8316 1.0575 9.7675 0.0000 -2.1150 9.7675" Properties=species:S:1:pos:R:3 comment="Dy2YPd, relaxed, DFT PBE" spacegroup=R-3m total_energy_ev_per_atom=-5.5157 formation_enthalpy_0k_kj_per_mol_atoms=-28.99 de_polymorph_mev_per_atom=175 volume_a3_per_cell=114 pbc="T T T"
Dy 0.0000 0.0000 6.8213
Dy 0.0000 0.0000 22.4812
Y 0.0000 0.0000 0.0000
Pd 0.0000 0.0000 14.6513

=====

Record 4
6
Lattice="0.0000 4.4264 4.4264 4.4264 0.0000 4.4264 4.4264 4.4264 0.0000" Properties=species:S:1:pos:R:3 comment="AlRhPb4, relaxed, DFT PBE" spacegroup=F-43m total_energy_ev_per_atom=-3.6289 formation_enthalpy_0k_kj_per_mol_atoms=66.80 volume_a3_per_cell=173 pbc="T T T"
Al 0.0000 0.0000 0.0000
Rh 2.2132 2.2132 2.2132
Pb 5.5284 3.3244 3.3244
Pb 3.3244 5.5284 3.3244
Pb 3.3244 3.3244 5.5284
Pb 5.5284 5.5284 5.5284

=====

Record 5
20
Lattice="5.3199 0.0000 0.0000 0.0000 8.2042 0.0000 0.0000 0.0000 9.4329" Properties=species:S:1:pos:R:3 comment="Ti3InSb, relaxed, DFT PBE" spacegroup=Pnma total_energy_ev_per_atom=-6.0463 e_form_raw_ev_per_fu=0.31 de_polymorph_mev_per_atom=0 volume_a3_per_cell=412 pbc="T T T"
Ti 0.6842 2.0510 1.6895
Ti 0.8826 4.6941 2.6532
Ti 0.8826 7.6122 2.6532
Ti 1.7773 0.5920 7.3697
Ti 1.7773 3.5101 7.3697
Ti 1.9758 6.1531 6.4059
Ti 3.3441 2.0510 3.0270
Ti 3.5425 4.6941 2.0633
Ti 3.5425 7.6122 2.0633
Ti 4.4373 0.5920 6.7797
Ti 4.4373 3.5101 6.7797
Ti 4.6357 6.1531 7.7435
In 0.4482 2.0510 4.5912
In 2.2117 6.1531 9.3077
In 3.1081 2.0510 0.1252
In 4.8717 6.1531 4.8417
Sb 0.0000 0.0000 0.0000
Sb 0.0000 4.1021 0.0000
Sb 2.6599 0.0000 4.7165
Sb 2.6599 4.1021 4.7165

=====

Record 6
10
Lattice="6.4769 -1.5711 0.0000 6.4769 1.5711 0.0000 -0.3156 0.0000 6.2006" Properties=species:S:1:pos:R:3 comment="V3AsH, relaxed, DFT PBE" spacegroup=C2/m total_energy_ev_per_atom=-7.1377 de_polymorph_mev_per_atom=215 volume_a3_per_cell=126 pbc="T T T"
V 0.0543 0.0000 1.5540
V 1.9454 0.0000 3.8258
V 4.9645 0.0000 0.3170
V 7.6737 0.0000 5.8836
V 10.6928 0.0000 2.3749
V 12.5839 0.0000 4.6466
As 2.5193 0.0000 1.4440
As 10.1189 0.0000 4.7567
H 5.4477 0.0000 2.1152
H 7.1905 0.0000 4.0854